Material: BaLi2SiPd2
Method: DFT, PBE
State: relaxed

For the total energy, the calculation gives -4.0098 eV per atom.

It has space group P4/mmm (No. 123), with a = 4.692 Å, b = 4.692 Å, c = 6.493 Å, α = 90.00°, β = 90.00° and γ = 90.00°. Symmetry generates all atoms from Ba at (0.000, 0.000, 0.000), Li at (0.500, 0.500, 0.300), Si at (0.000, 0.000, 0.500) and Pd at (0.000, 0.500, 0.500).



Material: PmSm2Br6
Method: DFT, PBE
State: relaxed

For the total energy, the calculation gives -4.2366 eV per atom.

It has space group R3 (No. 146, hexagonal axes), with a = 7.0356 Å, b = 7.0356 Å, c = 21.3141 Å, α = 90.00°, β = 90.00° and γ = 120.00°. Symmetry generates all atoms from Pm at (0.0000, 0.0000, 0.0000), Sm at (0.0000, 0.0000, 0.5031), Sm at (0.0000, 0.0000, 0.8364), Br at (0.0016, 0.3302, 0.2532) and Br at (0.0034, 0.6595, 0.0826).



Material: Cd2CoSb
Method: DFT, PBE
State: relaxed

For the total energy, the calculation gives -3.1031 eV per atom.

It has space group R3m (No. 160, hexagonal axes), with a = 3.2724 Å, b = 3.2724 Å, c = 27.2946 Å, α = 90.00°, β = 90.00° and γ = 120.00°. Symmetry generates all atoms from Cd at (0.0000, 0.0000, 0.0000), Cd at (0.0000, 0.0000, 0.2362), Co at (0.0000, 0.0000, 0.7389) and Sb at (0.0000, 0.0000, 0.4649).



Material: KTlSe
Method: DFT, PBE
State: relaxed

For the total energy, the calculation gives -2.7718 eV per atom. The value obtained for the excess energy over the best structure of this formula in the dataset is 0.310 eV per atom.

It has space group F-43m (No. 216), with a = 7.495 Å, b = 7.495 Å, c = 7.495 Å, α = 90.00°, β = 90.00° and γ = 90.00°. Symmetry generates all atoms from K at (0.000, 0.000, 0.000), Tl at (0.250, 0.250, 0.250) and Se at (0.250, 0.250, 0.750).



Material: KLiTiPt2
Method: DFT, PBE
State: relaxed

As for the energy of formation: 200 kJ/mol of formula units. For the total energy, the calculation gives -4.1829 eV per atom.

It has space group P4/mmm (No. 123), with a = 4.765 Å, b = 4.765 Å, c = 5.624 Å, α = 90.00°, β = 90.00° and γ = 90.00°. Symmetry generates all atoms from K at (0.000, 0.000, 0.000), Li at (0.500, 0.500, 0.000), Ti at (0.000, 0.000, 0.500) and Pt at (0.000, 0.500, 0.500).



Material: Zn2RuSe
Method: DFT, PBE
State: relaxed

For the total energy, the calculation gives -3.5813 eV per atom.

It has space group Cmm2 (No. 35), with a = 2.878 Å, b = 4.988 Å, c = 9.631 Å, α = 90.00°, β = 90.00° and γ = 90.00°. Symmetry generates all atoms from Zn at (0.000, 0.000, 0.000), Zn at (0.000, 0.500, 0.237), Ru at (0.000, 0.000, 0.462) and Se at (0.000, 0.500, 0.669).



Material: MgPPt2
Method: DFT, PBE
State: relaxed

As for the energy of formation: -156 kJ/mol of formula units. For the total energy, the calculation gives -5.1756 eV per atom.

It has space group Pmmm (No. 47), with a = 2.980 Å, b = 3.631 Å, c = 5.671 Å, α = 90.00°, β = 90.00° and γ = 90.00°. Symmetry generates all atoms from Mg at (0.000, 0.000, 0.000), P at (0.000, 0.000, 0.500) and Pt at (0.500, 0.500, 0.257).



Material: AgSn2HCl6
Method: DFT, PBE
State: relaxed

For the total energy, the calculation gives -3.2900 eV per atom.

It has space group P2_1/c (No. 14), with a = 7.665 Å, b = 5.594 Å, c = 13.783 Å, α = 90.00°, β = 113.50° and γ = 90.00°. Symmetry generates all atoms from Ag at (0.000, 0.000, 0.000), Sn at (0.298, 0.008, 0.810), H at (0.500, 0.000, 0.500), Cl at (0.064, 0.225, 0.365), Cl at (0.303, 0.176, 0.176) and Cl at (0.413, 0.717, 0.037).